(1)
! AcCd7 | the Alexandria database | GGA-PBE | optimized geometry; values from VASP
&SYSTEM
  ibrav = 0, nat = 8, ntyp = 2
/
ATOMIC_SPECIES
Cd 112.41 Cd.upf
Ac 227.00 Ac.upf
CELL_PARAMETERS angstrom
-4.1050 1.3409 -0.7925
-4.1462 -6.0160 -0.6497
-3.8973 -1.2757 6.0818
ATOMIC_POSITIONS crystal
Cd 0.7435 0.7572 0.7572
Cd 0.3654 0.8241 0.4452
Cd 0.6346 0.5548 0.1759
Cd 0.2565 0.2428 0.2428
Cd 0.0000 0.5000 0.5000
Cd 0.3654 0.4452 0.8241
Cd 0.6346 0.1759 0.5548
Ac 0.0000 0.0000 0.0000
! E_tot = -1.487 eV per atom
! energy of formation from the pure elements = -172 meV per atom

***

(2)
! KSc2Te | the Alexandria database | GGA-PBE | optimized geometry; values from VASP
&SYSTEM
  ibrav = 0, nat = 4, ntyp = 3
/
ATOMIC_SPECIES
Sc 44.96 Sc.upf
K 39.10 K.upf
Te 127.60 Te.upf
CELL_PARAMETERS angstrom
5.4696 0.0000 0.0000
2.7348 4.7368 0.0000
2.7348 1.5789 4.4659
ATOMIC_POSITIONS crystal
Sc 0.2500 0.2500 0.2500
Sc 0.0000 0.0000 0.0000
K 0.5000 0.5000 0.5000
Te 0.7500 0.7500 0.7500
! E_tot = -4.050 eV per atom
! raw formation energy = 0.175 eV/atom

***

(3)
! H3PtSe | the Alexandria database | GGA-PBE | optimized geometry; values from VASP
&SYSTEM
  ibrav = 0, nat = 5, ntyp = 3
/
ATOMIC_SPECIES
H 1.01 H.upf
Pt 195.08 Pt.upf
Se 78.96 Se.upf
CELL_PARAMETERS angstrom
3.6830 0.0000 0.0000
0.0000 3.6830 0.0000
0.0000 0.0000 3.6830
ATOMIC_POSITIONS crystal
H 0.0000 0.5000 0.0000
H 0.5000 0.0000 0.0000
H 0.0000 0.0000 0.5000
Pt 0.0000 0.0000 0.0000
Se 0.5000 0.5000 0.5000
! energy above the most stable polymorph in this dataset = 446 meV per atom
! E_tot = -3.326 eV per atom

***

(4)
! NpVPd | the Alexandria database | GGA-PBE | optimized geometry; values from VASP
&SYSTEM
  ibrav = 0, nat = 6, ntyp = 3
/
ATOMIC_SPECIES
V 50.94 V.upf
Np 237.00 Np.upf
Pd 106.42 Pd.upf
CELL_PARAMETERS angstrom
-0.5742 2.5865 0.5527
-3.4997 -1.3201 2.5421
4.9185 -0.3195 6.6052
ATOMIC_POSITIONS crystal
V 0.5000 0.0000 0.7804
V 0.0000 0.5000 0.2196
Np 0.5000 0.5000 0.5499
Np 0.0000 0.0000 0.4501
Pd 0.5000 0.5000 0.9285
Pd 0.0000 0.0000 0.0715
! energy above the most stable polymorph in this dataset = 131 meV per atom
! E_tot = -8.870 eV per atom
! energy of formation from the pure elements = 214 meV per atom

***

(5)
! YZrTaGa2 | the Alexandria database | GGA-PBE | optimized geometry; values from VASP
&SYSTEM
  ibrav = 0, nat = 5, ntyp = 4
/
ATOMIC_SPECIES
Zr 91.22 Zr.upf
Ta 180.95 Ta.upf
Y 88.91 Y.upf
Ga 69.72 Ga.upf
CELL_PARAMETERS angstrom
5.0976 0.0000 0.0000
0.0000 4.9171 0.0000
0.0000 0.0000 5.0976
ATOMIC_POSITIONS crystal
Zr 0.5000 0.5000 0.5000
Ta 0.0000 0.5000 0.0000
Y 0.0000 0.0000 0.0000
Ga 0.5000 0.0000 0.0000
Ga 0.0000 0.0000 0.5000
! E_tot = -5.228 eV per atom
! energy of formation from the pure elements = 1356 meV per atom

***

(6)
! Er6Tm7 | the Alexandria database | GGA-PBE | optimized geometry; values from VASP
&SYSTEM
  ibrav = 0, nat = 13, ntyp = 2
/
ATOMIC_SPECIES
Tm 168.93 Tm.upf
Er 167.26 Er.upf
CELL_PARAMETERS angstrom
-6.3656 -0.5565 0.7460
-3.6980 -1.6059 -5.0133
-2.0714 -11.8773 1.2049
ATOMIC_POSITIONS crystal
Tm 0.5902 0.5902 0.7338
Tm 0.9142 0.4098 0.2662
Tm 0.4098 0.9142 0.2662
Tm 0.5902 0.0858 0.7338
Tm 0.4098 0.4098 0.2662
Tm 0.5000 0.5000 0.5000
Tm 0.0858 0.5902 0.7338
Er 0.9533 0.9533 0.1402
Er 0.6672 0.6672 0.9984
Er 0.3328 0.3328 0.0016
Er 0.8520 0.8520 0.4439
Er 0.1480 0.1480 0.5561
Er 0.0467 0.0467 0.8598
! E_tot = -4.248 eV per atom
! energy of formation from the pure elements = 266 meV per atom

***

(7)
! CdAgBr | the Alexandria database | GGA-PBE | optimized geometry; values from VASP
&SYSTEM
  ibrav = 0, nat = 3, ntyp = 3
/
ATOMIC_SPECIES
Ag 107.87 Ag.upf
Br 79.90 Br.upf
Cd 112.41 Cd.upf
CELL_PARAMETERS angstrom
7.0944 -0.0319 0.0218
5.6964 3.3924 -0.0076
1.3980 -1.2636 3.1827
ATOMIC_POSITIONS crystal
Ag 0.9967 0.9967 0.0033
Br 0.6650 0.6650 0.3350
Cd 0.3383 0.3383 0.6617
! energy above the most stable polymorph in this dataset = 101 meV per atom
! E_tot = -1.926 eV per atom
! raw formation energy = -0.113 eV/atom

***

Number 1: total magnetization 0.00 μB per formula unit. Number 2: total magnetization 3.22 μB per formula unit. Number 3: total magnetization 0.00 μB per formula unit. Number 4: total magnetization 2.04 μB per formula unit. Number 5: total magnetization 0.00 μB per formula unit. Number 6: total magnetization 3.04 μB per formula unit. Number 7: total magnetization 0.00 μB per formula unit.